Arrangement P

## Rb2AlTe (PBE-GGA)

Data for Rb2AlTe after structural relaxation.

Calculated values
- Symmetry: I-42d (122)
- Crystal system: tetragonal

Cell and atoms, written as CIF:
```
data_Rb2AlTe
_cell_length_a 12.7035
_cell_length_b 12.7035
_cell_length_c 12.7035
_cell_angle_alpha 155.12
_cell_angle_beta 155.12
_cell_angle_gamma 35.48
_space_group_name_H-M_alt 'P 1'
_space_group_IT_number 1
loop_
_space_group_symop_operation_xyz
'x,y,z'
loop_
_atom_site_label
_atom_site_type_symbol
_atom_site_fract_x
_atom_site_fract_y
_atom_site_fract_z
Rb1 Rb 0.1128 0.6250 0.9878
Rb2 Rb 0.3750 0.3628 0.4878
Rb3 Rb 0.6372 0.1250 0.0122
Rb4 Rb 0.8750 0.8872 0.5122
Al1 Al 0.2500 0.7500 0.5000
Al2 Al 0.5000 0.5000 0.0000
Te1 Te 0.0000 0.0000 0.0000
Te2 Te 0.7500 0.2500 0.5000
```

Arrangement Q

## Rb2AlTe (PBE-GGA)

Data for Rb2AlTe after structural relaxation.

Calculated values
- Symmetry: Fm-3m (225)
- Crystal system: cubic

Cell and atoms, written as CIF:
```
data_Rb2AlTe
_cell_length_a 6.1419
_cell_length_b 6.1419
_cell_length_c 6.1419
_cell_angle_alpha 60.00
_cell_angle_beta 60.00
_cell_angle_gamma 60.00
_space_group_name_H-M_alt 'P 1'
_space_group_IT_number 1
loop_
_space_group_symop_operation_xyz
'x,y,z'
loop_
_atom_site_label
_atom_site_type_symbol
_atom_site_fract_x
_atom_site_fract_y
_atom_site_fract_z
Rb1 Rb 0.2500 0.2500 0.2500
Rb2 Rb 0.7500 0.7500 0.7500
Al1 Al 0.0000 0.0000 0.0000
Te1 Te 0.5000 0.5000 0.5000
```

Order from most stable to least stable according to the calculation: arrangement Q, arrangement P

Arrangement P

## RbTiAl (PBE-GGA)

Data for RbTiAl after structural relaxation.

Calculated values
- Symmetry: P1 (1)
- Crystal system: triclinic

Cell and atoms, written as CIF:
```
data_RbTiAl
_cell_length_a 3.6721
_cell_length_b 4.1273
_cell_length_c 13.1823
_cell_angle_alpha 89.96
_cell_angle_beta 82.89
_cell_angle_gamma 90.00
_space_group_name_H-M_alt 'P 1'
_space_group_IT_number 1
loop_
_space_group_symop_operation_xyz
'x,y,z'
loop_
_atom_site_label
_atom_site_type_symbol
_atom_site_fract_x
_atom_site_fract_y
_atom_site_fract_z
Rb1 Rb 0.0000 0.0000 0.0000
Rb2 Rb 0.3658 0.5002 0.3367
Ti1 Ti 0.2547 0.9969 0.5900
Ti2 Ti 0.6865 0.9966 0.7437
Al1 Al 0.1862 0.4966 0.7462
Al2 Al 0.7545 0.4969 0.5906
```

Arrangement Q

## RbTiAl (PBE-GGA)

Data for RbTiAl after structural relaxation.

Calculated values
- Symmetry: P1 (1)
- Crystal system: triclinic

Cell and atoms, written as CIF:
```
data_RbTiAl
_cell_length_a 3.9861
_cell_length_b 3.9940
_cell_length_c 13.4006
_cell_angle_alpha 98.08
_cell_angle_beta 98.38
_cell_angle_gamma 90.00
_space_group_name_H-M_alt 'P 1'
_space_group_IT_number 1
loop_
_space_group_symop_operation_xyz
'x,y,z'
loop_
_atom_site_label
_atom_site_type_symbol
_atom_site_fract_x
_atom_site_fract_y
_atom_site_fract_z
Rb1 Rb 0.0000 0.0000 0.0000
Rb2 Rb 0.1786 0.6962 0.3469
Ti1 Ti 0.3700 0.8795 0.7386
Ti2 Ti 0.8704 0.3799 0.7395
Al1 Al 0.3007 0.3129 0.5971
Al2 Al 0.8005 0.8126 0.5967
```

Arrangement R

## RbTiAl (PBE-GGA)

Data for RbTiAl after structural relaxation.

Calculated values
- Symmetry: P-1 (2)
- Crystal system: triclinic

Cell and atoms, written as CIF:
```
data_RbTiAl
_cell_length_a 3.5495
_cell_length_b 4.2036
_cell_length_c 13.2852
_cell_angle_alpha 81.12
_cell_angle_beta 88.10
_cell_angle_gamma 90.00
_space_group_name_H-M_alt 'P 1'
_space_group_IT_number 1
loop_
_space_group_symop_operation_xyz
'x,y,z'
loop_
_atom_site_label
_atom_site_type_symbol
_atom_site_fract_x
_atom_site_fract_y
_atom_site_fract_z
Rb1 Rb 0.2092 0.3381 0.3284
Rb2 Rb 0.7908 0.6619 0.6716
Ti1 Ti 0.2402 0.9611 0.0796
Ti2 Ti 0.7598 0.0389 0.9204
Al1 Al 0.2596 0.5380 0.9220
Al2 Al 0.7404 0.4620 0.0780
```

Arrangement S

## RbTiAl (PBE-GGA)

Data for RbTiAl after structural relaxation.

Calculated values
- Symmetry: P6_3mc (186)
- Crystal system: hexagonal

Cell and atoms, written as CIF:
```
data_RbTiAl
_cell_length_a 5.4304
_cell_length_b 5.4304
_cell_length_c 6.0025
_cell_angle_alpha 90.00
_cell_angle_beta 90.00
_cell_angle_gamma 120.00
_space_group_name_H-M_alt 'P 1'
_space_group_IT_number 1
loop_
_space_group_symop_operation_xyz
'x,y,z'
loop_
_atom_site_label
_atom_site_type_symbol
_atom_site_fract_x
_atom_site_fract_y
_atom_site_fract_z
Rb1 Rb 0.0000 0.0000 0.0000
Rb2 Rb 0.0000 0.0000 0.5000
Ti1 Ti 0.3333 0.6667 0.2462
Ti2 Ti 0.6667 0.3333 0.7462
Al1 Al 0.3333 0.6667 0.7465
Al2 Al 0.6667 0.3333 0.2465
```

Order from most stable to least stable according to the calculation: arrangement R, arrangement P, arrangement Q, arrangement S

Arrangement P

## RbTiAl (PBE-GGA)

Data for RbTiAl after structural relaxation.

Calculated values
- Symmetry: P1 (1)
- Crystal system: triclinic

Cell and atoms, written as CIF:
```
data_RbTiAl
_cell_length_a 3.8972
_cell_length_b 4.9242
_cell_length_c 12.2591
_cell_angle_alpha 82.09
_cell_angle_beta 89.59
_cell_angle_gamma 66.69
_space_group_name_H-M_alt 'P 1'
_space_group_IT_number 1
loop_
_space_group_symop_operation_xyz
'x,y,z'
loop_
_atom_site_label
_atom_site_type_symbol
_atom_site_fract_x
_atom_site_fract_y
_atom_site_fract_z
Rb1 Rb 0.0000 0.0000 0.0000
Rb2 Rb 0.3592 0.3100 0.3603
Ti1 Ti 0.2394 0.5309 0.7723
Ti2 Ti 0.8143 0.3869 0.6431
Al1 Al 0.0977 0.8235 0.5662
Al2 Al 0.5289 0.9547 0.7120
```

Arrangement Q

## RbTiAl (PBE-GGA)

Data for RbTiAl after structural relaxation.

Calculated values
- Symmetry: Pmm2 (25)
- Crystal system: orthorhombic

Cell and atoms, written as CIF:
```
data_RbTiAl
_cell_length_a 4.7994
_cell_length_b 4.9571
_cell_length_c 9.1396
_cell_angle_alpha 90.00
_cell_angle_beta 90.00
_cell_angle_gamma 90.00
_space_group_name_H-M_alt 'P 1'
_space_group_IT_number 1
loop_
_space_group_symop_operation_xyz
'x,y,z'
loop_
_atom_site_label
_atom_site_type_symbol
_atom_site_fract_x
_atom_site_fract_y
_atom_site_fract_z
Rb1 Rb 0.0000 0.0000 0.0000
Rb2 Rb 0.5000 0.5000 0.3338
Ti1 Ti 0.5000 0.2187 0.6930
Ti2 Ti 0.5000 0.7813 0.6930
Al1 Al 0.0000 0.0000 0.5782
Al2 Al 0.0000 0.5000 0.6696
```

Arrangement R

## RbTiAl (PBE-GGA)

Data for RbTiAl after structural relaxation.

Calculated values
- Symmetry: Pnma (62)
- Crystal system: orthorhombic

Cell and atoms, written as CIF:
```
data_RbTiAl
_cell_length_a 5.0085
_cell_length_b 5.0319
_cell_length_c 14.2749
_cell_angle_alpha 90.00
_cell_angle_beta 90.00
_cell_angle_gamma 90.00
_space_group_name_H-M_alt 'P 1'
_space_group_IT_number 1
loop_
_space_group_symop_operation_xyz
'x,y,z'
loop_
_atom_site_label
_atom_site_type_symbol
_atom_site_fract_x
_atom_site_fract_y
_atom_site_fract_z
Rb1 Rb 0.2496 0.2500 0.0325
Rb2 Rb 0.2504 0.7500 0.5325
Rb3 Rb 0.7496 0.2500 0.4675
Rb4 Rb 0.7504 0.7500 0.9675
Ti1 Ti 0.0018 0.2500 0.7500
Ti2 Ti 0.4982 0.7500 0.2500
Ti3 Ti 0.5018 0.2500 0.7500
Ti4 Ti 0.9982 0.7500 0.2500
Al1 Al 0.2484 0.2500 0.2849
Al2 Al 0.2516 0.7500 0.7849
Al3 Al 0.7484 0.2500 0.2151
Al4 Al 0.7516 0.7500 0.7151
```

Arrangement S

## RbTiAl (PBE-GGA)

Data for RbTiAl after structural relaxation.

Calculated values
- Symmetry: Cm (8)
- Crystal system: monoclinic

Cell and atoms, written as CIF:
```
data_RbTiAl
_cell_length_a 6.2246
_cell_length_b 6.2246
_cell_length_c 5.7758
_cell_angle_alpha 117.42
_cell_angle_beta 117.42
_cell_angle_gamma 66.70
_space_group_name_H-M_alt 'P 1'
_space_group_IT_number 1
loop_
_space_group_symop_operation_xyz
'x,y,z'
loop_
_atom_site_label
_atom_site_type_symbol
_atom_site_fract_x
_atom_site_fract_y
_atom_site_fract_z
Rb1 Rb 0.0000 0.0000 0.0000
Rb2 Rb 0.2323 0.2323 0.7324
Ti1 Ti 0.6114 0.6114 0.3406
Ti2 Ti 0.6133 0.6133 0.8900
Al1 Al 0.0685 0.6309 0.3504
Al2 Al 0.6309 0.0685 0.3504
```

Order from most stable to least stable according to the calculation: arrangement P, arrangement Q, arrangement R, arrangement S